DFT (meta-GGA SCAN) results for a crystal of Ta2CoAu relaxed with PBEsol.

## Properties
SG = P4mm (99)
Energy above the most stable polymorph in this dataset = 39 meV per atom
Calculated formation energy = -0.117 eV per atom
Calculated volume = 15.53 Å³ per atom

Unit cell a=3.171 b=3.171 c=6.180 alpha=90.00 beta=90.00 gamma=90.00
Sites, in units of the cell vectors:
Ta (0.000, 0.000, 0.000)
Ta (0.500, 0.500, 0.293)
Co (0.500, 0.500, 0.811)
Au (0.000, 0.000, 0.554)



DFT (meta-GGA SCAN) results for a crystal of Ta2CoAu relaxed with PBEsol.

## Properties
SG = P4/mmm (123)
Energy above the most stable polymorph in this dataset = 0 meV per atom
Calculated formation energy = -0.156 eV per atom
Calculated volume = 15.20 Å³ per atom

Unit cell a=3.882 b=3.882 c=4.034 alpha=90.00 beta=90.00 gamma=90.00
Sites, in units of the cell vectors:
Ta (0.000, 0.500, 0.000)
Ta (0.500, 0.000, 0.000)
Co (0.000, 0.000, 0.500)
Au (0.500, 0.500, 0.500)



DFT (meta-GGA SCAN) results for a crystal of TaCoAu relaxed with PBEsol.

## Properties
SG = I4mm (107)
Energy above the most stable polymorph in this dataset = 0 meV per atom
Calculated formation energy = -0.155 eV per atom
Calculated volume = 14.79 Å³ per atom

Unit cell a=4.857 b=4.857 c=4.857 alpha=141.34 beta=141.34 gamma=55.82
Sites, in units of the cell vectors:
Ta (0.000, 0.000, 0.000)
Co (0.632, 0.632, 0.000)
Au (0.312, 0.312, 0.000)



DFT (meta-GGA SCAN) results for a crystal of TaCoAu2 relaxed with PBEsol.

## Properties
SG = P4mm (99)
Energy above the most stable polymorph in this dataset = 1 meV per atom
Calculated formation energy = -0.050 eV per atom
Calculated volume = 15.49 Å³ per atom

Unit cell a=3.048 b=3.048 c=6.670 alpha=90.00 beta=90.00 gamma=90.00
Sites, in units of the cell vectors:
Ta (0.000, 0.000, 0.000)
Co (0.500, 0.500, 0.814)
Au (0.000, 0.000, 0.570)
Au (0.500, 0.500, 0.288)



DFT (meta-GGA SCAN) results for a crystal of Ta2Co2Au relaxed with PBEsol.

## Properties
SG = P4/mbm (127)
Calculated formation energy = -0.180 eV per atom
Calculated volume = 14.22 Å³ per atom

Unit cell a=6.845 b=6.845 c=3.035 alpha=90.00 beta=90.00 gamma=90.00
Sites, in units of the cell vectors:
Ta (0.169, 0.331, 0.000)
Ta (0.331, 0.831, 0.000)
Ta (0.669, 0.169, 0.000)
Ta (0.831, 0.669, 0.000)
Co (0.128, 0.628, 0.500)
Co (0.372, 0.128, 0.500)
Co (0.628, 0.872, 0.500)
Co (0.872, 0.372, 0.500)
Au (0.000, 0.000, 0.500)
Au (0.500, 0.500, 0.500)



DFT (meta-GGA SCAN) results for a crystal of TaCoAu2 relaxed with PBEsol.

## Properties
SG = F-43m (216)
Energy above the most stable polymorph in this dataset = 0 meV per atom
Calculated formation energy = -0.052 eV per atom
Calculated volume = 15.31 Å³ per atom

Unit cell a=4.424 b=4.424 c=4.424 alpha=60.00 beta=60.00 gamma=60.00
Sites, in units of the cell vectors:
Ta (0.000, 0.000, 0.000)
Co (0.750, 0.750, 0.750)
Au (0.250, 0.250, 0.250)
Au (0.500, 0.500, 0.500)



DFT (meta-GGA SCAN) results for a crystal of TaCoAu relaxed with PBEsol.

## Properties
SG = F-43m (216)
Energy above the most stable polymorph in this dataset = 537 meV per atom
Calculated formation energy = 0.382 eV per atom
Calculated volume = 17.63 Å³ per atom

Unit cell a=4.213 b=4.213 c=4.213 alpha=60.00 beta=60.00 gamma=60.00
Sites, in units of the cell vectors:
Ta (0.000, 0.000, 0.000)
Co (0.250, 0.250, 0.250)
Au (0.750, 0.750, 0.750)



DFT (meta-GGA SCAN) results for a crystal of TaCoAu2 relaxed with PBEsol.

## Properties
SG = Pmmm (47)
Energy above the most stable polymorph in this dataset = 86 meV per atom
Calculated formation energy = 0.034 eV per atom
Calculated volume = 15.21 Å³ per atom

Unit cell a=2.842 b=4.041 c=5.297 alpha=90.00 beta=90.00 gamma=90.00
Sites, in units of the cell vectors:
Ta (0.000, 0.000, 0.000)
Co (0.000, 0.000, 0.500)
Au (0.500, 0.500, 0.256)
Au (0.500, 0.500, 0.744)



DFT (meta-GGA SCAN) results for a crystal of TaCoAu relaxed with PBEsol.

## Properties
SG = F-43m (216)
Energy above the most stable polymorph in this dataset = 569 meV per atom
Calculated formation energy = 0.414 eV per atom
Calculated volume = 17.73 Å³ per atom

Unit cell a=4.221 b=4.221 c=4.221 alpha=60.00 beta=60.00 gamma=60.00
Sites, in units of the cell vectors:
Ta (0.000, 0.000, 0.000)
Co (0.500, 0.500, 0.500)
Au (0.750, 0.750, 0.750)



DFT (meta-GGA SCAN) results for a crystal of Co2TcAu relaxed with PBEsol.

## Properties
SG = C2/m (12)
Energy above the most stable polymorph in this dataset = 69 meV per atom
Calculated formation energy = 0.334 eV per atom
Calculated volume = 13.31 Å³ per atom

Unit cell a=5.077 b=5.077 c=2.559 alpha=103.31 beta=103.31 gamma=116.27
Sites, in units of the cell vectors:
Co (0.000, 0.500, 0.000)
Co (0.500, 0.000, 0.000)
Tc (0.000, 0.000, 0.500)
Au (0.500, 0.500, 0.500)